Below is an optimized crystal structure of Na3PtCl6, with properties calculated at the PBE level.

Symmetry: P2_1/c (14)
Volume (Å³/f.u.): 241.10
Formation energy without anion corrections (eV/f.u.): -11.95

a = 6.734 Å, b = 7.008 Å, c = 11.787 Å
α = 90.00°, β = 119.91°, γ = 90.00°
Sites, in units of the cell vectors:
Na: 0.000 0.000 0.000
Na: 0.000 0.500 0.500
Na: 0.281 0.089 0.763
Na: 0.281 0.411 0.263
Na: 0.719 0.589 0.737
Na: 0.719 0.911 0.237
Pt: 0.500 0.000 0.500
Pt: 0.500 0.500 0.000
Cl: 0.129 0.041 0.261
Cl: 0.129 0.459 0.761
Cl: 0.293 0.671 0.079
Cl: 0.293 0.829 0.579
Cl: 0.402 0.212 0.063
Cl: 0.402 0.288 0.563
Cl: 0.598 0.712 0.437
Cl: 0.598 0.788 0.937
Cl: 0.707 0.171 0.421
Cl: 0.707 0.329 0.921
Cl: 0.871 0.541 0.239
Cl: 0.871 0.959 0.739

=====

Below is an optimized crystal structure of Na6PtCl12, with properties calculated at the PBE level.

Fermi-level density of states (states/eV/cell): 5.95
Symmetry: R-3 (148)
Volume (Å³/f.u.): 502.05
Formation energy without anion corrections (eV/f.u.): -22.08

a = 7.973 Å, b = 7.973 Å, c = 7.973 Å
α = 94.44°, β = 94.44°, γ = 94.44°
Sites, in units of the cell vectors:
Na: 0.157 0.646 0.305
Na: 0.305 0.157 0.646
Na: 0.354 0.695 0.843
Na: 0.646 0.305 0.157
Na: 0.695 0.843 0.354
Na: 0.843 0.354 0.695
Pt: 0.000 0.000 0.000
Cl: 0.015 0.706 0.964
Cl: 0.036 0.985 0.294
Cl: 0.166 0.460 0.588
Cl: 0.294 0.036 0.985
Cl: 0.412 0.834 0.540
Cl: 0.460 0.588 0.166
Cl: 0.540 0.412 0.834
Cl: 0.588 0.166 0.460
Cl: 0.706 0.964 0.015
Cl: 0.834 0.540 0.412
Cl: 0.964 0.015 0.706
Cl: 0.985 0.294 0.036

=====

Below is an optimized crystal structure of NaPtCl, with properties calculated at the PBE level.

Fermi-level density of states (states/eV/cell): 0.95
Symmetry: P-6m2 (187)
Volume (Å³/f.u.): 62.15
Formation energy without anion corrections (eV/f.u.): -0.66

a = 4.265 Å, b = 4.265 Å, c = 3.945 Å
α = 90.00°, β = 90.00°, γ = 120.00°
Sites, in units of the cell vectors:
Na: 0.000 0.000 0.000
Pt: 0.667 0.333 0.500
Cl: 0.333 0.667 0.500

=====

Below is an optimized crystal structure of NaPt2Cl8, with properties calculated at the PBE level.

Fermi-level density of states (states/eV/cell): 6.40
Symmetry: P-3 (147)
Volume (Å³/f.u.): 316.51
Formation energy without anion corrections (eV/f.u.): -3.18

a = 8.552 Å, b = 8.552 Å, c = 4.996 Å
α = 90.00°, β = 90.00°, γ = 120.00°
Sites, in units of the cell vectors:
Na: 0.000 0.000 0.000
Pt: 0.333 0.667 0.253
Pt: 0.667 0.333 0.747
Cl: 0.177 0.820 0.266
Cl: 0.180 0.357 0.266
Cl: 0.333 0.667 0.759
Cl: 0.357 0.177 0.734
Cl: 0.643 0.823 0.266
Cl: 0.667 0.333 0.241
Cl: 0.820 0.643 0.734
Cl: 0.823 0.180 0.734

=====

Below is an optimized crystal structure of NaPtCl, with properties calculated at the PBE level.

Fermi-level density of states (states/eV/cell): 0.00
Symmetry: P1 (1)
Volume (Å³/f.u.): 73.84
Formation energy without anion corrections (eV/f.u.): -1.95

a = 3.687 Å, b = 6.311 Å, c = 6.384 Å
α = 83.76°, β = 89.98°, γ = 89.97°
Sites, in units of the cell vectors:
Na: 0.000 0.000 0.000
Na: 0.497 0.380 0.618
Pt: 0.499 0.328 0.149
Pt: 0.999 0.534 0.941
Cl: 0.499 0.769 0.774
Cl: 0.999 0.163 0.382

=====

Below is an optimized crystal structure of Na3PtCl, with properties calculated at the PBE level.

Fermi-level density of states (states/eV/cell): 0.00
Symmetry: Pm-3m (221)
Volume (Å³/f.u.): 130.55
Formation energy without anion corrections (eV/f.u.): -2.32

a = 5.073 Å, b = 5.073 Å, c = 5.073 Å
α = 90.00°, β = 90.00°, γ = 90.00°
Sites, in units of the cell vectors:
Na: 0.000 0.000 0.500
Na: 0.000 0.500 0.000
Na: 0.500 0.000 0.000
Pt: 0.500 0.500 0.500
Cl: 0.000 0.000 0.000

=====

Below is an optimized crystal structure of NaPtCl, with properties calculated at the PBE level.

Fermi-level density of states (states/eV/cell): 0.05
Symmetry: Pnma (62)
Volume (Å³/f.u.): 65.25
Formation energy without anion corrections (eV/f.u.): -0.78

a = 8.653 Å, b = 3.584 Å, c = 8.414 Å
α = 90.00°, β = 90.00°, γ = 90.00°
Sites, in units of the cell vectors:
Na: 0.001 0.250 0.249
Na: 0.499 0.750 0.749
Na: 0.501 0.250 0.251
Na: 0.999 0.750 0.751
Pt: 0.249 0.250 0.889
Pt: 0.251 0.750 0.389
Pt: 0.749 0.250 0.611
Pt: 0.751 0.750 0.111
Cl: 0.249 0.250 0.615
Cl: 0.251 0.750 0.115
Cl: 0.749 0.250 0.885
Cl: 0.751 0.750 0.385

=====

Below is an optimized crystal structure of Na3PtCl8, with properties calculated at the PBE level.

Fermi-level density of states (states/eV/cell): 11.83
Symmetry: C222 (21)
Volume (Å³/f.u.): 337.49
Formation energy without anion corrections (eV/f.u.): -12.24

a = 6.743 Å, b = 6.743 Å, c = 8.358 Å
α = 90.00°, β = 90.00°, γ = 117.36°
Sites, in units of the cell vectors:
Na: 0.000 0.000 0.000
Na: 0.000 0.500 0.750
Na: 0.500 0.000 0.250
Pt: 0.000 0.000 0.500
Cl: 0.203 0.797 0.500
Cl: 0.233 0.237 0.701
Cl: 0.237 0.233 0.299
Cl: 0.241 0.759 0.000
Cl: 0.759 0.241 0.000
Cl: 0.763 0.767 0.299
Cl: 0.767 0.763 0.701
Cl: 0.797 0.203 0.500

=====

Below is an optimized crystal structure of Na2PtCl8, with properties calculated at the PBE level.

Fermi-level density of states (states/eV/cell): 5.82
Symmetry: C2/m (12)
Volume (Å³/f.u.): 352.42
Formation energy without anion corrections (eV/f.u.): -8.18

a = 8.086 Å, b = 8.086 Å, c = 5.454 Å
α = 96.07°, β = 96.07°, γ = 91.45°
Sites, in units of the cell vectors:
Na: 0.227 0.227 0.093
Na: 0.773 0.773 0.907
Pt: 0.500 0.500 0.500
Cl: 0.003 0.003 0.765
Cl: 0.282 0.574 0.222
Cl: 0.307 0.307 0.619
Cl: 0.426 0.718 0.778
Cl: 0.574 0.282 0.222
Cl: 0.693 0.693 0.381
Cl: 0.718 0.426 0.778
Cl: 0.997 0.997 0.235

=====

Below is an optimized crystal structure of NaPtCl, with properties calculated at the PBE level.

Fermi-level density of states (states/eV/cell): 2.78
Symmetry: Cm (8)
Volume (Å³/f.u.): 70.86
Formation energy without anion corrections (eV/f.u.): -1.45

a = 16.930 Å, b = 3.580 Å, c = 4.722 Å
α = 90.00°, β = 98.00°, γ = 90.00°
Sites, in units of the cell vectors:
Na: 0.000 0.000 0.000
Na: 0.223 0.000 0.636
Na: 0.500 0.500 0.000
Na: 0.723 0.500 0.636
Pt: 0.248 0.500 0.151
Pt: 0.362 0.000 0.164
Pt: 0.748 0.000 0.151
Pt: 0.862 0.500 0.164
Cl: 0.113 0.500 0.232
Cl: 0.397 0.000 0.682
Cl: 0.613 0.000 0.232
Cl: 0.897 0.500 0.682

=====

Below is an optimized crystal structure of NaPtCl, with properties calculated at the PBE level.

Fermi-level density of states (states/eV/cell): 7.13
Symmetry: F-43m (216)
Volume (Å³/f.u.): 62.50
Formation energy without anion corrections (eV/f.u.): 0.21

a = 6.300 Å, b = 6.300 Å, c = 6.300 Å
α = 90.00°, β = 90.00°, γ = 90.00°
Sites, in units of the cell vectors:
Na: 0.000 0.000 0.000
Na: 0.000 0.500 0.500
Na: 0.500 0.000 0.500
Na: 0.500 0.500 0.000
Pt: 0.000 0.000 0.500
Pt: 0.000 0.500 0.000
Pt: 0.500 0.000 0.000
Pt: 0.500 0.500 0.500
Cl: 0.250 0.250 0.250
Cl: 0.250 0.750 0.750
Cl: 0.750 0.250 0.750
Cl: 0.750 0.750 0.250

=====

What is the formation energy without anion corrections in the tenth record?
-1.45 eV/f.u.

=====

Look up the volume of the fifth one.
73.84 Å³/f.u.

=====

volume of number 5 (NaPtCl)?
73.84 Å³/f.u.